A relaxed structure of PrPI, computed with PBE-GGA.

## Properties
polymorph energy (0 for the lowest one): 420 meV per atom
uncorrected formation energy: -2.46 eV per formula unit
space group: I4mm
magnetic moment: 0.4 μB per cell
DOS at the Fermi energy: 1.741 states/eV/cell
final energy: -4.732 eV per atom

Unit cell a=3.9862 b=3.9862 c=6.3377 alpha=108.33 beta=108.33 gamma=90.00
Last column: nearest neighbours and their distance in Å.
Atoms (fractional coordinates):
1 P 0.2800 0.2800 0.5599  4 Pr 2.94, 1 I 3.03
2 Pr 0.7072 0.7072 0.4144  4 P 2.94
3 I 0.0128 0.0128 0.0256  1 P 3.03